HoUP2Ir5: relaxed, GGA-PBE.

```
HoUP2Ir5
1.0
4.0148 0.0000 0.0000
0.0000 4.0148 0.0000
0.0000 0.0000 10.9975
Ho U P Ir
1 1 2 5
direct
0.0000 0.0000 0.0000
0.0000 0.0000 0.5000
0.5000 0.5000 0.2910
0.5000 0.5000 0.7090
0.0000 0.5000 0.1960
0.0000 0.5000 0.8040
0.5000 0.0000 0.1960
0.5000 0.0000 0.8040
0.5000 0.5000 0.5000
```

**Energy of formation from the pure elements**: -0.48 eV/atom
**SG**: P4/mmm
**Volume**: 19.70 Å³ per atom

***

HoPaIr: relaxed, GGA-PBE.

```
HoPaIr
1.0
4.6080 0.0000 0.0000
-2.3040 3.9907 0.0000
0.0000 0.0000 3.7538
Ho Pa Ir
1 1 1
direct
0.0000 0.0000 0.0000
0.6667 0.3333 0.4126
0.3333 0.6667 0.6703
```

**Relative energy among the computed polymorphs**: 268 meV per atom
**Energy of formation from the pure elements**: -0.24 eV/atom
**SG**: P3m1
**Volume**: 23.01 Å³ per atom

***

HoPaIr2: relaxed, GGA-PBE.

```
HoPaIr2
1.0
5.5621 0.0000 0.0000
0.0000 5.5819 0.0000
-3.3021 0.0000 11.0297
Ho Pa Ir
4 4 8
direct
0.1957 0.1361 0.1454
0.1957 0.8639 0.6454
0.8043 0.1361 0.3546
0.8043 0.8639 0.8546
0.3153 0.3573 0.8624
0.3153 0.6427 0.3624
0.6847 0.3573 0.6376
0.6847 0.6427 0.1376
0.1633 0.3659 0.6041
0.1633 0.6341 0.1041
0.3372 0.1539 0.4127
0.3372 0.8461 0.9127
0.6628 0.1539 0.0873
0.6628 0.8461 0.5873
0.8367 0.3659 0.8959
0.8367 0.6341 0.3959
```

**Relative energy among the computed polymorphs**: 0 meV per atom
**Energy of formation from the pure elements**: -0.89 eV/atom
**SG**: P2/c
**Volume**: 21.40 Å³ per atom

***

Ho2PaIr3: relaxed, GGA-PBE.

```
Ho2PaIr3
1.0
4.8542 0.0000 0.0000
-2.4271 4.2039 0.0000
0.0000 0.0000 6.0277
Ho Pa Ir
2 1 3
direct
0.3333 0.6667 0.1535
0.6667 0.3333 0.8465
0.0000 0.0000 0.5000
0.0000 0.0000 0.0000
0.3333 0.6667 0.6309
0.6667 0.3333 0.3691
```

**Relative energy among the computed polymorphs**: 0 meV per atom
**Energy of formation from the pure elements**: -0.82 eV/atom
**SG**: P-3m1
**Volume**: 20.50 Å³ per atom

***

Ho5PaIr4: relaxed, GGA-PBE.

```
Ho5PaIr4
1.0
-2.0540 3.7513 8.2545
2.0540 -3.7513 8.2545
2.0540 3.7513 -8.2545
Ho Pa Ir
5 1 4
direct
0.0000 0.0000 0.0000
0.0899 0.3333 0.7566
0.4233 0.6667 0.7566
0.5767 0.3333 0.2434
0.9101 0.6667 0.2434
0.5000 0.0000 0.5000
0.2551 0.5000 0.7551
0.3057 0.8057 0.5000
0.6943 0.1943 0.5000
0.7449 0.5000 0.2449
```

**Energy of formation from the pure elements**: -0.73 eV/atom
**SG**: Immm
**Volume**: 25.44 Å³ per atom

***

HoPaIr2: relaxed, GGA-PBE.

```
HoPaIr2
1.0
0.0000 3.4474 3.4474
3.4474 0.0000 3.4474
3.4474 3.4474 0.0000
Ho Pa Ir
1 1 2
direct
0.0000 0.0000 0.0000
0.5000 0.5000 0.5000
0.2500 0.2500 0.2500
0.7500 0.7500 0.7500
```

**Relative energy among the computed polymorphs**: 172 meV per atom
**Energy of formation from the pure elements**: -0.72 eV/atom
**SG**: Fm-3m
**Volume**: 20.49 Å³ per atom

***

Ho2PaIr3: relaxed, GGA-PBE.

```
Ho2PaIr3
1.0
6.9182 -2.7856 0.0000
6.9182 2.7856 0.0000
-1.5731 0.0000 6.6094
Ho Pa Ir
4 2 6
direct
0.0781 0.2811 0.1398
0.2811 0.0781 0.6398
0.7189 0.9219 0.3602
0.9219 0.7189 0.8602
0.3733 0.6267 0.2500
0.6267 0.3733 0.7500
0.1017 0.8983 0.7500
0.2472 0.4512 0.4915
0.4512 0.2472 0.9915
0.5488 0.7528 0.0085
0.7528 0.5488 0.5085
0.8983 0.1017 0.2500
```

**Relative energy among the computed polymorphs**: 16 meV per atom
**Energy of formation from the pure elements**: -0.80 eV/atom
**SG**: C2/c
**Volume**: 21.23 Å³ per atom

***

Ho2PaIr2: relaxed, GGA-PBE.

```
Ho2PaIr2
1.0
5.7492 -2.9812 0.0000
5.7492 2.9812 0.0000
-1.1853 0.0000 7.1206
Ho Pa Ir
4 2 4
direct
0.0517 0.2700 0.1511
0.2700 0.0517 0.6511
0.7300 0.9483 0.3489
0.9483 0.7300 0.8489
0.4183 0.5817 0.2500
0.5817 0.4183 0.7500
0.2399 0.4437 0.4745
0.4437 0.2399 0.9745
0.5563 0.7601 0.0255
0.7601 0.5563 0.5255
```

**Energy of formation from the pure elements**: -0.78 eV/atom
**SG**: C2/c
**Volume**: 24.41 Å³ per atom

***

HoPaIr: relaxed, GGA-PBE.

```
HoPaIr
1.0
-1.7878 1.7878 5.4181
1.7878 -1.7878 5.4181
1.7878 1.7878 -5.4181
Ho Pa Ir
1 1 1
direct
0.0000 0.0000 0.0000
0.2963 0.2963 0.0000
0.6802 0.6802 0.0000
```

**Relative energy among the computed polymorphs**: 0 meV per atom
**Energy of formation from the pure elements**: -0.51 eV/atom
**SG**: I4mm
**Volume**: 23.09 Å³ per atom

***

HoPaIr2: relaxed, GGA-PBE.

```
HoPaIr2
1.0
3.4600 0.0000 0.0000
0.0000 3.4600 0.0000
0.0000 0.0000 6.9465
Ho Pa Ir
1 1 2
direct
0.0000 0.0000 0.0000
0.0000 0.0000 0.5000
0.5000 0.5000 0.2701
0.5000 0.5000 0.7299
```

**Relative energy among the computed polymorphs**: 113 meV per atom
**Energy of formation from the pure elements**: -0.78 eV/atom
**SG**: P4/mmm
**Volume**: 20.79 Å³ per atom

***

HoPa2Ir: relaxed, GGA-PBE.

```
HoPa2Ir
1.0
1.7554 1.0135 10.0910
-1.7554 1.0135 10.0910
0.0000 -2.0270 10.0910
Ho Pa Ir
1 2 1
direct
0.0000 0.0000 0.0000
0.1036 0.1036 0.1036
0.8964 0.8964 0.8964
0.5000 0.5000 0.5000
```

**Energy of formation from the pure elements**: 0.08 eV/atom
**SG**: R-3m
**Volume**: 26.93 Å³ per atom

***

HoPaIr2: relaxed, GGA-PBE.

```
HoPaIr2
1.0
1.9655 1.1348 6.7422
-1.9655 1.1348 6.7422
0.0000 -2.2696 6.7422
Ho Pa Ir
1 1 2
direct
0.0000 0.0000 0.0000
0.5000 0.5000 0.5000
0.2452 0.2452 0.2452
0.7548 0.7548 0.7548
```

**Relative energy among the computed polymorphs**: 65 meV per atom
**Energy of formation from the pure elements**: -0.83 eV/atom
**SG**: R-3m
**Volume**: 22.56 Å³ per atom

***

HoPaIr: relaxed, GGA-PBE.

```
HoPaIr
1.0
0.0000 3.3838 3.3838
3.3838 0.0000 3.3838
3.3838 3.3838 0.0000
Ho Pa Ir
1 1 1
direct
0.0000 0.0000 0.0000
0.5000 0.5000 0.5000
0.2500 0.2500 0.2500
```

**Relative energy among the computed polymorphs**: 147 meV per atom
**Energy of formation from the pure elements**: -0.36 eV/atom
**SG**: F-43m
**Volume**: 25.83 Å³ per atom

***

HoPaIr2: relaxed, GGA-PBE.

```
HoPaIr2
1.0
6.2195 -2.7808 0.0000
6.2195 2.7808 0.0000
-2.5884 0.0000 5.1153
Ho Pa Ir
2 2 4
direct
0.1421 0.1421 0.3444
0.8579 0.8579 0.6556
0.3605 0.3605 0.0568
0.6395 0.6395 0.9432
0.1206 0.1206 0.8250
0.4057 0.4057 0.6036
0.5943 0.5943 0.3964
0.8794 0.8794 0.1750
```

**Relative energy among the computed polymorphs**: 76 meV per atom
**Energy of formation from the pure elements**: -0.82 eV/atom
**SG**: C2/m
**Volume**: 22.12 Å³ per atom

***

HoPaIrPt: relaxed, GGA-PBE.

```
HoPaIrPt
1.0
4.1830 0.0000 0.0000
0.0000 1.8643 5.5897
0.0000 -1.8643 5.5897
Ho Pa Ir Pt
1 1 1 1
direct
0.0000 0.0000 0.0000
0.5000 0.2762 0.2762
0.0000 0.7438 0.7438
0.5000 0.5546 0.5546
```

**Relative energy among the computed polymorphs**: 0 meV per atom
**Energy of formation from the pure elements**: -1.08 eV/atom
**SG**: Amm2
**Volume**: 21.79 Å³ per atom

***

HoPaIrPt: relaxed, GGA-PBE.

```
HoPaIrPt
1.0
0.0000 3.4762 3.4762
3.4762 0.0000 3.4762
3.4762 3.4762 0.0000
Ho Pa Ir Pt
1 1 1 1
direct
0.0000 0.0000 0.0000
0.5000 0.5000 0.5000
0.2500 0.2500 0.2500
0.7500 0.7500 0.7500
```

**Relative energy among the computed polymorphs**: 248 meV per atom
**Energy of formation from the pure elements**: -0.83 eV/atom
**SG**: F-43m
**Volume**: 21.00 Å³ per atom

***

HoPaTcIr: relaxed, GGA-PBE.

```
HoPaTcIr
1.0
0.0000 3.4348 3.4348
3.4348 0.0000 3.4348
3.4348 3.4348 0.0000
Ho Pa Tc Ir
1 1 1 1
direct
0.0000 0.0000 0.0000
0.5000 0.5000 0.5000
0.7500 0.7500 0.7500
0.2500 0.2500 0.2500
```

**Energy of formation from the pure elements**: -0.45 eV/atom
**SG**: F-43m
**Volume**: 20.26 Å³ per atom

***

HoThPa2Ir4: relaxed, GGA-PBE.

```
HoThPa2Ir4
1.0
0.0000 5.5989 4.1938
3.8508 0.0000 4.1938
3.8508 5.5989 0.0000
Ho Th Pa Ir
1 1 2 4
direct
0.0000 0.0000 0.0000
0.4231 0.4231 0.5769
0.1588 0.1588 0.3412
0.6588 0.6588 0.8412
0.1457 0.6674 0.3326
0.5053 0.9075 0.4947
0.6674 0.1457 0.8543
0.9075 0.5053 0.0925
```

**Energy of formation from the pure elements**: -0.85 eV/atom
**SG**: Fmm2
**Volume**: 22.60 Å³ per atom

***

Ho2IrPb: relaxed, GGA-PBE.

```
Ho2IrPb
1.0
3.4823 0.0000 0.0000
0.0000 3.4823 0.0000
0.0000 0.0000 7.9977
Ho Ir Pb
2 1 1
direct
0.0000 0.0000 0.2040
0.0000 0.0000 0.7960
0.5000 0.5000 0.0000
0.5000 0.5000 0.5000
```

**Relative energy among the computed polymorphs**: 0 meV per atom
**Energy of formation from the pure elements**: -0.69 eV/atom
**SG**: P4/mmm
**Volume**: 24.25 Å³ per atom

***

Ho12Ir6Pb: relaxed, GGA-PBE.

```
Ho12Ir6Pb
1.0
-4.9557 4.9557 4.9557
4.9557 -4.9557 4.9557
4.9557 4.9557 -4.9557
Ho Ir Pb
12 6 1
direct
0.1044 0.2993 0.8051
0.1949 0.4942 0.2993
0.1949 0.8956 0.7007
0.2993 0.1949 0.4942
0.2993 0.8051 0.1044
0.4942 0.2993 0.1949
0.5058 0.7007 0.8051
0.7007 0.1949 0.8956
0.7007 0.8051 0.5058
0.8051 0.1044 0.2993
0.8051 0.5058 0.7007
0.8956 0.7007 0.1949
0.1255 0.5000 0.6255
0.3745 0.8745 0.5000
0.5000 0.3745 0.8745
0.5000 0.6255 0.1255
0.6255 0.1255 0.5000
0.8745 0.5000 0.3745
0.0000 0.0000 0.0000
```

**Energy of formation from the pure elements**: -0.63 eV/atom
**SG**: Im-3
**Volume**: 25.62 Å³ per atom

***

Ho8IrPb2: relaxed, GGA-PBE.

```
Ho8IrPb2
1.0
9.7114 -2.5010 0.0000
9.7114 2.5010 0.0000
-1.8340 0.0000 6.4078
Ho Ir Pb
8 1 2
direct
0.0199 0.0199 0.2873
0.2179 0.2179 0.8270
0.3564 0.3564 0.4959
0.4121 0.4121 0.0469
0.5879 0.5879 0.9531
0.6436 0.6436 0.5041
0.7821 0.7821 0.1730
0.9801 0.9801 0.7127
0.5000 0.5000 0.5000
0.1814 0.1814 0.2613
0.8186 0.8186 0.7387
```

**Energy of formation from the pure elements**: -0.37 eV/atom
**SG**: C2/m
**Volume**: 28.30 Å³ per atom

***

Ho5IrPb4: relaxed, GGA-PBE.

```
Ho5IrPb4
1.0
-4.8453 4.8453 3.0910
4.8453 -4.8453 3.0910
4.8453 4.8453 -3.0910
Ho Ir Pb
5 1 4
direct
0.0000 0.0000 0.0000
0.1534 0.3037 0.6406
0.3037 0.6630 0.1502
0.5128 0.1534 0.8498
0.6630 0.5128 0.3594
0.4802 0.4802 0.0000
0.2266 0.9798 0.3932
0.5866 0.8334 0.6068
0.8334 0.2266 0.2468
0.9798 0.5866 0.7532
```

**Energy of formation from the pure elements**: -0.38 eV/atom
**SG**: I4
**Volume**: 29.03 Å³ per atom

***

Ho4IrPb2: relaxed, GGA-PBE.

```
Ho4IrPb2
1.0
7.2620 0.0000 0.0000
0.0000 6.5504 0.0000
-2.4581 0.0000 8.2359
Ho Ir Pb
8 2 4
direct
0.1341 0.0048 0.2878
0.1341 0.4952 0.2878
0.2831 0.7500 0.6583
0.3126 0.2500 0.9074
0.6874 0.7500 0.0926
0.7169 0.2500 0.3417
0.8659 0.5048 0.7122
0.8659 0.9952 0.7122
0.0799 0.2500 0.5799
0.9201 0.7500 0.4201
0.2068 0.7500 0.9912
0.4654 0.2500 0.5798
0.5346 0.7500 0.4202
0.7932 0.2500 0.0088
```

**Energy of formation from the pure elements**: -0.49 eV/atom
**SG**: P2_1/m
**Volume**: 27.98 Å³ per atom

***

Ho2IrPb: relaxed, GGA-PBE.

```
Ho2IrPb
1.0
1.9356 1.1175 8.4450
-1.9356 1.1175 8.4450
0.0000 -2.2350 8.4450
Ho Ir Pb
2 1 1
direct
0.2298 0.2298 0.2298
0.7702 0.7702 0.7702
0.5000 0.5000 0.5000
0.0000 0.0000 0.0000
```

**Relative energy among the computed polymorphs**: 123 meV per atom
**Energy of formation from the pure elements**: -0.57 eV/atom
**SG**: R-3m
**Volume**: 27.40 Å³ per atom